# Al2Cu2Si PBE relaxed
# - magnetization (Bohr magnetons per cell) = 0.00
# - offset from the most stable computed form (meV/atom) = 38
data_Al2Cu2Si
_chemical_formula_sum 'Al4 Cu4 Si2'
_symmetry_space_group_name_H-M 'P 4/m b m'
_symmetry_Int_Tables_number 127
_symmetry_space_group_name_Hall '-P 4 2ab'
_cell_length_a 6.182
_cell_length_b 6.182
_cell_length_c 3.760
_cell_angle_alpha 90.00
_cell_angle_beta 90.00
_cell_angle_gamma 90.00
loop_
_atom_site_label
_atom_site_type_symbol
_atom_site_fract_x
_atom_site_fract_y
_atom_site_fract_z
Al1 Al 0.161 0.339 0.000
Cu1 Cu 0.141 0.641 0.500
Si1 Si 0.000 0.000 0.500